Below is a relaxed ZrAsPbBr2 crystal, with properties calculated at the PBE level.

Results
**Relative energy among the computed polymorphs**: 961.9 meV/atom
**ΔE_f (raw)**: 0.5612 eV/atom
**Calculated volume**: 34.68 Å³ per atom
**SG**: No. 123
**Calculated total energy**: -3.4891 eV/atom

Lattice parameters (Å, degrees): 5.553 5.553 5.624 90.00 90.00 90.00
Each line ends with the local moment (μB).
Positions (direct):
Pb 0.000 0.000 0.000  -0.03
As 0.000 0.000 0.500  -0.23
Br 0.000 0.500 0.000  -0.02
Br 0.500 0.000 0.000  -0.02
Zr 0.500 0.500 0.500  1.39